Computed, not measured: a crystal of NiBiIO2 relaxed with PBEsol at the meta-GGA SCAN level of DFT.

Lattice parameters (Å, degrees): 4.169 4.169 4.679 90.00 90.00 90.00
Atoms (fractional coordinates):
Ni  0.000  0.000  0.000
Bi  0.500  0.500  0.500
I  0.000  0.000  0.500
O  0.000  0.500  0.000
O  0.500  0.000  0.000

The calculation puts the total energy at -28.670 eV per atom. The symmetry is P4/mmm. Its volume is 81 Å³/f.u. For the energy relative to the elements, uncorrected, the calculation gives 0.121 eV/atom.